Record 1
VASP calculation (PBE) on a relaxed structure of UHSe.

Cell: 3.380 3.380 5.194 Å, 108.99 108.99 90.00°
Last column: magnetic moment on the atom in μB.
Fractional coordinates of all 3 atoms:
H 0.045 0.045 0.090  -0.03
Se 0.320 0.320 0.639  -0.09
U 0.635 0.635 0.271  2.72



Record 2
VASP calculation (PBE) on a relaxed structure of CsSrF3.

## Properties
Raw formation energy in meV per atom: -2804

Cell: 4.560 4.560 12.518 Å, 79.51 79.51 90.00°
Fractional coordinates of all 10 atoms:
Cs 0.250 0.750 0.500
Cs 0.000 0.000 0.000
Sr 0.632 0.132 0.736
Sr 0.868 0.368 0.264
F 0.141 0.894 0.212
F 0.647 0.894 0.212
F 0.684 0.684 0.632
F 0.106 0.859 0.788
F 0.316 0.316 0.368
F 0.106 0.353 0.788



Record 3
VASP calculation (PBE) on a relaxed structure of SmHo2Se3.

## Properties
Raw formation energy in meV per atom: -1751

Cell: 4.105 5.777 7.094 Å, 114.03 106.82 90.00°
Fractional coordinates of all 6 atoms:
Se 0.500 0.000 0.500
Se 0.174 0.674 0.848
Se 0.826 0.326 0.152
Ho 0.839 0.839 0.178
Ho 0.161 0.161 0.822
Sm 0.500 0.500 0.500



Record 4
VASP calculation (PBE) on a relaxed structure of IrPt2Cl.

## Properties
Raw formation energy in meV per atom: 287

Cell: 3.385 2.805 7.094 Å, 89.98 90.00 90.00°
Fractional coordinates of all 4 atoms:
Cl 0.500 0.250 0.250
Ir 0.500 0.750 0.750
Pt 0.000 0.250 0.528
Pt 0.000 0.250 0.972



So what do the calculations give for raw total energy? Going down the list: -19.5; -44.3; -34.8; -21.6 eV/cell.
So what do the calculations give for calculated volume? Going down the list: 52.7; 125.8; 145.7; 67.4 Å³/f.u..